VASP calculation (GGA-PBE) on a relaxed structure of BaHoMgCd.

a = 5.6673 Å, b = 5.6673 Å, c = 5.6673 Å
α = 60.00°, β = 60.00°, γ = 60.00°
Element x y z (fractional)
Ba1 0.0000 0.0000 0.0000
Ho1 0.5000 0.5000 0.5000
Mg1 0.7500 0.7500 0.7500
Cd1 0.2500 0.2500 0.2500

volume	32.2	A^3/atom
total moment	0.0000	μB/atom
formation energy	-0.055	eV/atom